Entry 1:
! PBE NaY2Se2, relaxed; values from VASP
&SYSTEM
  ibrav = 0, nat = 10, ntyp = 3
/
ATOMIC_SPECIES
Na 22.99 Na.upf
Y 88.91 Y.upf
Se 78.96 Se.upf
CELL_PARAMETERS angstrom
7.8807 0.0000 0.0000
0.0000 7.8807 0.0000
0.0000 0.0000 3.8196
ATOMIC_POSITIONS crystal
Na 0.0000 0.0000 0.0000
Na 0.5000 0.5000 0.0000
Y 0.8473 0.3473 0.5000
Y 0.3473 0.1527 0.5000
Y 0.1527 0.6527 0.5000
Y 0.6527 0.8473 0.5000
Se 0.6462 0.1462 0.0000
Se 0.1462 0.3538 0.0000
Se 0.3538 0.8538 0.0000
Se 0.8538 0.6462 0.0000
! DOS(E_F) ... 3.877 states/eV/cell
! Polymorph energy (0 for the lowest one) ... 0 meV per atom
! E_tot ... -5.486 eV/atom
! Theoretical density ... 5.0 g cm⁻³

---

Entry 2:
! PBE NaYSe2, relaxed; values from VASP
&SYSTEM
  ibrav = 0, nat = 4, ntyp = 3
/
ATOMIC_SPECIES
Na 22.99 Na.upf
Y 88.91 Y.upf
Se 78.96 Se.upf
CELL_PARAMETERS angstrom
0.0000 3.5728 3.5728
3.5728 0.0000 3.5728
3.5728 3.5728 0.0000
ATOMIC_POSITIONS crystal
Na 0.0000 0.0000 0.0000
Y 0.5000 0.5000 0.5000
Se 0.2500 0.2500 0.2500
Se 0.7500 0.7500 0.7500
! DOS(E_F) ... 0.000 states/eV/cell
! E_tot ... -5.073 eV/atom
! Theoretical density ... 4.9 g cm⁻³

---

How do the records compare in E_form (uncorrected)? In the order shown, they have -1243 -1385 meV/atom.